NaHg6 | PBE-GGA | relaxed

## Properties
The volume is 26.3 Å³/atom. The space group is R-3m. The formation energy from the elements is -0.10 eV/atom. Its total energy is -3.84 eV for the cell shown. As for the size of the total moment: 0.00 μB per cell.

Lattice parameters (Å, degrees): 8.0814 8.0814 8.0814 38.58 38.58 38.58
Closest atoms and distances in Å follow each position.
Fractional positions:
Na  0.0000  0.0000  0.0000  8 Hg 3.13-3.29
Hg  0.1397  0.1397  0.1397  1 Na 3.13, 7 Hg 3.18-3.31
Hg  0.2814  0.2814  0.2814  5 Hg 3.18-3.25, 3 Na 3.29
Hg  0.4265  0.4265  0.4265  8 Hg 3.22-3.29
Hg  0.5735  0.5735  0.5735  8 Hg 3.22-3.29
Hg  0.7186  0.7186  0.7186  5 Hg 3.18-3.25, 3 Na 3.29
Hg  0.8603  0.8603  0.8603  1 Na 3.13, 7 Hg 3.18-3.31

***

AcNi12Ge6 | PBE-GGA | relaxed

## Properties
The volume is 14.2 Å³/atom. The space group is R-3m. The formation energy from the elements is -0.29 eV/atom. Its total energy is -106.65 eV for the cell shown. As for the size of the total moment: 0.00 μB per cell.

Lattice parameters (Å, degrees): 6.7548 6.7548 6.7548 104.87 104.87 104.87
Closest atoms and distances in Å follow each position.
Fractional positions:
Ac  0.0000  0.0000  0.0000  18 Ni 3.25-3.63, 6 Ge 3.51
Ni  0.1232  0.5000  0.8768  4 Ge 2.32
Ni  0.1232  0.8768  0.5000  4 Ge 2.32
Ni  0.1544  0.4314  0.4314  3 Ge 2.38-2.42, 2 Ni 2.65
Ni  0.4314  0.1544  0.4314  3 Ge 2.38-2.42, 2 Ni 2.65
Ni  0.4314  0.4314  0.1544  3 Ge 2.38-2.42, 2 Ni 2.65
Ni  0.5000  0.1232  0.8768  4 Ge 2.32
Ni  0.5000  0.8768  0.1232  4 Ge 2.32
Ni  0.5686  0.5686  0.8456  3 Ge 2.38-2.42, 2 Ni 2.65
Ni  0.5686  0.8456  0.5686  3 Ge 2.38-2.42, 2 Ni 2.65
Ni  0.8456  0.5686  0.5686  3 Ge 2.38-2.42, 2 Ni 2.65
Ni  0.8768  0.1232  0.5000  4 Ge 2.32
Ni  0.8768  0.5000  0.1232  4 Ge 2.32
Ge  0.2500  0.2500  0.6887  7 Ni 2.32-2.42
Ge  0.2500  0.6887  0.2500  7 Ni 2.32-2.42
Ge  0.3113  0.7500  0.7500  7 Ni 2.32-2.42
Ge  0.6887  0.2500  0.2500  7 Ni 2.32-2.42
Ge  0.7500  0.3113  0.7500  7 Ni 2.32-2.42
Ge  0.7500  0.7500  0.3113  7 Ni 2.32-2.42

***

Cs2SmP2Se6 | PBE-GGA | relaxed

## Properties
The volume is 32.4 Å³/atom. The space group is R-3m. Its total energy is -46.63 eV for the cell shown. As for the size of the total moment: 0.00 μB per cell. For the uncorrected formation energy, the calculation gives -0.771 eV/atom.

Lattice parameters (Å, degrees): 8.4278 8.4278 8.4278 53.28 53.28 53.28
Closest atoms and distances in Å follow each position.
Fractional positions:
Cs  0.2416  0.2416  0.2416  9 Se 3.78-3.87
Cs  0.7584  0.7584  0.7584  9 Se 3.78-3.87
Sm  0.0000  0.0000  0.0000  6 Se 2.92
P  0.4445  0.4445  0.4445  3 Se 2.27, 1 P 2.40
P  0.5555  0.5555  0.5555  3 Se 2.27, 1 P 2.40
Se  0.2335  0.7453  0.7453  1 P 2.27
Se  0.2547  0.2547  0.7665  1 P 2.27
Se  0.2547  0.7665  0.2547  1 P 2.27
Se  0.7453  0.2335  0.7453  1 P 2.27
Se  0.7453  0.7453  0.2335  1 P 2.27
Se  0.7665  0.2547  0.2547  1 P 2.27

***

Ag3HW | PBE-GGA | relaxed

## Properties
The volume is 27.8 Å³/atom. The space group is Pm-3m. Its total energy is -14.21 eV for the cell shown. As for the size of the total moment: 0.98 μB per cell.

Lattice parameters (Å, degrees): 5.1811 5.1811 5.1811 90.00 90.00 90.00
Closest atoms and distances in Å follow each position.
Fractional positions:
Ag  0.0000  0.0000  0.5000  2 W 2.59
Ag  0.0000  0.5000  0.0000  2 W 2.59
Ag  0.5000  0.0000  0.0000  2 W 2.59
H  0.5000  0.5000  0.5000  12 Ag 3.66
W  0.0000  0.0000  0.0000  6 Ag 2.59

***

NaSrHoTl | PBE-GGA | relaxed

## Properties
The volume is 31.7 Å³/atom. The space group is F-43m. The formation energy from the elements is -0.06 eV/atom. Its total energy is -10.19 eV for the cell shown. As for the size of the total moment: 0.00 μB per cell.

Lattice parameters (Å, degrees): 5.6376 5.6376 5.6376 60.00 60.00 60.00
Closest atoms and distances in Å follow each position.
Fractional positions:
Na  0.0000  0.0000  0.0000  4 Ho 3.45, 4 Sr 3.45
Sr  0.7500  0.7500  0.7500  4 Tl 3.45, 4 Na 3.45
Ho  0.2500  0.2500  0.2500  4 Tl 3.45, 4 Na 3.45
Tl  0.5000  0.5000  0.5000  4 Ho 3.45, 4 Sr 3.45

***

RbTcBi2O | PBE-GGA | relaxed

## Properties
The volume is 38.4 Å³/atom. The space group is P4/mmm. Its total energy is -11.52 eV for the cell shown. As for the size of the total moment: 2.86 μB per cell. For the uncorrected formation energy, the calculation gives 2.507 eV/atom.

Lattice parameters (Å, degrees): 6.1085 6.1085 5.1506 90.00 90.00 90.00
Closest atoms and distances in Å follow each position.
Fractional positions:
Rb  0.0000  0.0000  0.0000  2 Tc 2.58
Tc  0.0000  0.0000  0.5000  2 Rb 2.58
Bi  0.0000  0.5000  0.0000  2 Rb 3.05
Bi  0.5000  0.0000  0.0000  2 Rb 3.05
O  0.5000  0.5000  0.5000  8 Bi 4.00, 4 Tc 4.32

***

BaPt2Br | PBE-GGA | relaxed

## Properties
The volume is 27.7 Å³/atom. The space group is Pmmm. Its total energy is -17.48 eV for the cell shown. As for the size of the total moment: 0.00 μB per cell. For the uncorrected formation energy, the calculation gives -0.450 eV/atom.

Lattice parameters (Å, degrees): 4.5029 4.5509 5.4086 90.00 90.00 90.00
Closest atoms and distances in Å follow each position.
Fractional positions:
Ba  0.0000  0.0000  0.0000  8 Pt 3.45, 4 Br 3.53
Pt  0.5000  0.5000  0.2383  2 Pt 2.58-2.83, 2 Br 2.66
Pt  0.5000  0.5000  0.7617  2 Pt 2.58-2.83, 2 Br 2.66
Br  0.0000  0.5000  0.5000  4 Pt 2.66

***

K2RhCl4 | PBE-GGA | relaxed

## Properties
The volume is 30.9 Å³/atom. The space group is I4/mmm. Its total energy is -25.68 eV for the cell shown. As for the size of the total moment: 1.00 μB per cell. For the uncorrected formation energy, the calculation gives -1.250 eV/atom.

Lattice parameters (Å, degrees): 6.5829 6.5829 6.5829 113.76 113.76 101.20
Closest atoms and distances in Å follow each position.
Fractional positions:
K  0.2500  0.7500  0.5000  8 Cl 3.30
K  0.7500  0.2500  0.5000  8 Cl 3.30
Rh  0.0000  0.0000  0.0000  4 Cl 2.33
Cl  0.2291  0.2291  0.4583  1 Rh 2.33
Cl  0.2291  0.7709  0.0000  1 Rh 2.33
Cl  0.7709  0.2291  0.0000  1 Rh 2.33
Cl  0.7709  0.7709  0.5417  1 Rh 2.33

***

Cs2LiUSe4 | PBE-GGA | relaxed

## Properties
The volume is 36.0 Å³/atom. The space group is I-42m. Its total energy is -36.96 eV for the cell shown. As for the size of the total moment: 1.00 μB per cell. For the uncorrected formation energy, the calculation gives -1.014 eV/atom.

Lattice parameters (Å, degrees): 7.2485 7.2485 7.2485 105.43 105.43 117.89
Closest atoms and distances in Å follow each position.
Fractional positions:
Cs  0.0000  0.5000  0.5000  2 Cs 3.74, 8 Se 3.79-3.84
Cs  0.5000  0.0000  0.5000  2 Cs 3.74, 8 Se 3.79-3.84
Li  0.0000  0.0000  0.0000  4 Se 2.72
U  0.5000  0.5000  0.0000  4 Se 2.65
Se  0.1015  0.4122  0.0000  1 U 2.65, 1 Li 2.72
Se  0.4122  0.1015  0.0000  1 U 2.65, 1 Li 2.72
Se  0.5878  0.5878  0.6894  1 U 2.65, 1 Li 2.72
Se  0.8985  0.8985  0.3106  1 U 2.65, 1 Li 2.72

***

RbErI2 | PBE-GGA | relaxed

## Properties
The volume is 45.2 Å³/atom. The space group is R-3m. Its total energy is -11.85 eV for the cell shown. As for the size of the total moment: 0.00 μB per cell. For the uncorrected formation energy, the calculation gives -0.806 eV/atom.

Lattice parameters (Å, degrees): 12.0770 12.0770 12.0770 20.03 20.03 20.03
Closest atoms and distances in Å follow each position.
Fractional positions:
Rb  0.0000  0.0000  0.0000  2 I 4.01, 6 Rb 4.20
Er  0.5000  0.5000  0.5000  6 I 3.09
I  0.1129  0.1129  0.1129  3 Er 3.09
I  0.8871  0.8871  0.8871  3 Er 3.09

***

NaSmZn2 | PBE-GGA | relaxed

## Properties
The volume is 23.5 Å³/atom. The space group is P4/mmm. The formation energy from the elements is -0.09 eV/atom. Its total energy is -8.93 eV for the cell shown. As for the size of the total moment: 0.00 μB per cell.

Lattice parameters (Å, degrees): 5.2042 5.2042 3.4731 90.00 90.00 90.00
Closest atoms and distances in Å follow each position.
Fractional positions:
Na  0.0000  0.0000  0.0000  8 Zn 3.13, 2 Na 3.47
Sm  0.5000  0.5000  0.0000  8 Zn 3.13, 2 Sm 3.47
Zn  0.0000  0.5000  0.5000  4 Na 3.13, 4 Sm 3.13, 2 Zn 3.47
Zn  0.5000  0.0000  0.5000  4 Na 3.13, 4 Sm 3.13, 2 Zn 3.47

***

Sc4FePb | PBE-GGA | relaxed

## Properties
The volume is 22.9 Å³/atom. The space group is C2/c. The formation energy from the elements is -0.28 eV/atom. Its total energy is -78.31 eV for the cell shown. As for the size of the total moment: 0.00 μB per cell.

Lattice parameters (Å, degrees): 7.5223 7.5223 5.5931 100.78 100.78 112.88
Closest atoms and distances in Å follow each position.
Fractional positions:
Sc  0.0508  0.7341  0.9472  2 Fe 2.57
Sc  0.1999  0.3416  0.6327  2 Fe 2.68-2.70
Sc  0.2659  0.9492  0.5528  2 Fe 2.57
Sc  0.3416  0.1999  0.1327  2 Fe 2.68-2.70
Sc  0.6584  0.8001  0.8673  2 Fe 2.68-2.70
Sc  0.7341  0.0508  0.4472  2 Fe 2.57
Sc  0.8001  0.6584  0.3673  2 Fe 2.68-2.70
Sc  0.9492  0.2659  0.0528  2 Fe 2.57
Fe  0.9995  0.0005  0.2500  8 Sc 2.57-2.70, 2 Fe 2.80
Fe  0.0005  0.9995  0.7500  8 Sc 2.57-2.70, 2 Fe 2.80
Pb  0.3680  0.6320  0.2500  10 Sc 3.09-3.42
Pb  0.6320  0.3680  0.7500  10 Sc 3.09-3.42